Entry 1:
# Sc4AlGa5

Sc4AlGa5 after structural relaxation (PBE-GGA, the Alexandria database).

```
20
Lattice="6.348 0.000 0.000 0.000 9.311 0.000 0.000 0.000 6.892" Properties=species:S:1:pos:R:3 pbc="T T T"
Sc 0.025 2.328 1.317
Sc 1.587 5.257 3.385
Sc 1.587 8.710 3.385
Sc 3.149 2.328 1.317
Sc 3.199 6.983 5.574
Sc 4.761 0.601 3.507
Sc 4.761 4.055 3.507
Sc 6.323 6.983 5.574
Al 1.587 2.328 3.878
Al 4.761 6.983 3.014
Ga 0.291 0.522 5.713
Ga 0.291 4.133 5.713
Ga 1.587 6.983 1.011
Ga 2.883 0.522 5.713
Ga 2.883 4.133 5.713
Ga 3.465 5.178 1.179
Ga 3.465 8.789 1.179
Ga 4.761 2.328 5.881
Ga 6.057 5.178 1.179
Ga 6.057 8.789 1.179
```

Output
Spin magnetization   0.000 μB/atom
DOS at the Fermi energy   0.8918 states/eV/atom
Calculated volume   20.37 A^3/atom
SG   Pmmn (59)
ΔH_f (0 K)   -0.258 eV per atom

Entry 2:
# BiClF2

BiClF2 after structural relaxation (PBE-GGA, the Alexandria database).

```
8
Lattice="1.930 -5.135 0.000 1.930 5.135 0.000 0.000 0.000 7.231" Properties=species:S:1:pos:R:3 pbc="T T T"
Bi 1.930 2.578 5.423
Bi 1.930 -2.578 1.808
Cl 1.930 0.530 1.808
Cl 1.930 -0.530 5.423
F 1.930 3.317 0.482
F 1.930 3.317 3.134
F 1.930 -3.317 4.097
F 1.930 -3.317 6.749
```

Output
Spin magnetization   0.000 μB/atom
DOS at the Fermi energy   0.0000 states/eV/atom
Polymorph energy (0 for the lowest one)   0.000 eV/atom
Calculated volume   17.91 A^3/atom
SG   Cmcm (63)
E_form (uncorrected)   -1927 meV per atom

Entry 3:
# KNa2Ag2

KNa2Ag2 after structural relaxation (PBE-GGA, the Alexandria database).

```
10
Lattice="9.144 0.000 0.000 0.000 9.144 0.000 0.000 0.000 3.315" Properties=species:S:1:pos:R:3 pbc="T T T"
K 0.000 0.000 0.000
K 4.572 4.572 0.000
Na 1.138 3.434 0.000
Na 3.434 8.006 0.000
Na 5.710 1.138 0.000
Na 8.006 5.710 0.000
Ag 1.556 6.128 1.657
Ag 3.017 1.556 1.657
Ag 6.128 7.589 1.657
Ag 7.589 3.017 1.657
```

Output
Spin magnetization   0.000 μB/atom
DOS at the Fermi energy   0.3119 states/eV/atom
Polymorph energy (0 for the lowest one)   0.017 eV/atom
Calculated volume   27.72 A^3/atom
SG   P4/mbm (127)
ΔH_f (0 K)   0.032 eV per atom

Entry 4:
# Pm12Tl6Pt

Pm12Tl6Pt after structural relaxation (PBE-GGA, the Alexandria database).

```
19
Lattice="6.214 3.588 4.610 -6.214 3.588 4.610 0.000 -7.176 4.610" Properties=species:S:1:pos:R:3 pbc="T T T"
Pm -5.493 -1.518 7.739
Pm -1.432 -5.516 6.090
Pm -1.397 -1.693 5.110
Pm -4.061 3.998 6.090
Pm -0.768 2.056 5.110
Pm -2.164 0.363 8.719
Pm 2.164 -0.363 5.110
Pm 0.768 -2.056 8.719
Pm 4.061 -3.998 7.739
Pm 1.397 1.693 8.719
Pm 1.432 5.516 7.739
Pm 5.493 1.518 6.090
Tl -3.791 0.719 5.954
Tl -2.518 -2.923 7.875
Tl 1.273 -3.643 5.954
Tl -1.273 3.643 7.875
Tl 2.518 2.923 5.954
Tl 3.791 -0.719 7.875
Pt 0.000 0.000 6.914
```

Output
Spin magnetization   0.000 μB/atom
DOS at the Fermi energy   1.1234 states/eV/atom
Calculated volume   32.46 A^3/atom
SG   R-3 (148)
ΔH_f (0 K)   -0.246 eV per atom

Entry 5:
# YZn2Br

YZn2Br after structural relaxation (PBE-GGA, the Alexandria database).

```
4
Lattice="1.799 1.039 8.673 -1.799 1.039 8.673 0.000 -2.078 8.673" Properties=species:S:1:pos:R:3 pbc="T T T"
Y 0.000 0.000 0.000
Zn 0.000 0.000 6.369
Zn 0.000 0.000 19.648
Br 0.000 0.000 13.009
```

Output
Spin magnetization   0.000 μB/atom
DOS at the Fermi energy   0.6763 states/eV/atom
Polymorph energy (0 for the lowest one)   0.282 eV/atom
Calculated volume   24.32 A^3/atom
SG   R-3m (166)
E_form (uncorrected)   -180 meV per atom